Model A:
# GGA-PBE PaAl2V, optimized geometry
# - magnetization (μB/f.u.) = 0.00
# - mass density (g cm⁻³) = 7.6
data_PaAl2V
_cell_length_a 4.5705
_cell_length_b 6.6815
_cell_length_c 5.0130
_cell_angle_alpha 90.00
_cell_angle_beta 105.17
_cell_angle_gamma 90.00
_symmetry_space_group_name_H-M 'P 1 21/m 1'
_symmetry_Int_Tables_number 11
_symmetry_space_group_name_Hall '-P 2yb'
loop_
_atom_site_label
_atom_site_type_symbol
_atom_site_fract_x
_atom_site_fract_y
_atom_site_fract_z
_atom_site_occupancy
Pa1 Pa 0.0339 0.2500 0.1459 1
Al1 Al 0.4198 0.0558 0.7294 1
V1 V 0.1057 0.7500 0.4215 1

***

Model B:
# GGA-PBE PaAl2V, optimized geometry
# - magnetization (μB/f.u.) = 0.00
# - mass density (g cm⁻³) = 7.7
data_PaAl2V
_cell_length_a 2.9473
_cell_length_b 2.9473
_cell_length_c 29.0701
_cell_angle_alpha 90.00
_cell_angle_beta 90.00
_cell_angle_gamma 120.00
_symmetry_space_group_name_H-M 'R -3 m'
_symmetry_Int_Tables_number 166
_symmetry_space_group_name_Hall '-R 3 2"'
loop_
_atom_site_label
_atom_site_type_symbol
_atom_site_fract_x
_atom_site_fract_y
_atom_site_fract_z
_atom_site_occupancy
Pa1 Pa 0.0000 0.0000 0.0000 1
Al1 Al 0.0000 0.0000 0.2395 1
V1 V 0.0000 0.0000 0.5000 1

***

The structure with the most favorable energy is model A; the runner-up is 217 meV per atom above it.